The following is a DFT calculation (PBE-GGA) of a relaxed structure of LiIn2Sn3.

```
data_LiIn2Sn3
_chemical_formula_sum 'Li2 In4 Sn6'
_cell_length_a 4.616
_cell_length_b 14.956
_cell_length_c 4.439
_cell_angle_alpha 90.00
_cell_angle_beta 90.00
_cell_angle_gamma 90.00
_space_group_name_H-M_alt 'C m m m'
_space_group_IT_number 65
_space_group_name_Hall '-C 2 2'
loop_
_atom_site_label
_atom_site_type_symbol
_atom_site_fract_x
_atom_site_fract_y
_atom_site_fract_z
_atom_site_occupancy
Li1 Li 0.000 0.000 0.000 1
In1 In 0.000 0.340 0.000 1
Sn1 Sn 0.000 0.160 0.500 1
Sn2 Sn 0.000 0.500 0.500 1
```

Properties
DFT formation energy = -74 meV per atom



The following is a DFT calculation (PBE-GGA) of a relaxed structure of ZnCuAg3.

```
data_ZnCuAg3
_chemical_formula_sum 'Zn1 Cu1 Ag3'
_cell_length_a 4.805
_cell_length_b 4.805
_cell_length_c 4.805
_cell_angle_alpha 90.00
_cell_angle_beta 90.00
_cell_angle_gamma 90.00
_space_group_name_H-M_alt 'P m -3 m'
_space_group_IT_number 221
_space_group_name_Hall '-P 4 2 3'
loop_
_atom_site_label
_atom_site_type_symbol
_atom_site_fract_x
_atom_site_fract_y
_atom_site_fract_z
_atom_site_occupancy
Zn1 Zn 0.000 0.000 0.000 1
Cu1 Cu 0.500 0.500 0.500 1
Ag1 Ag 0.000 0.500 0.500 1
```

Properties
Polymorph energy (0 for the lowest one) = 0.0000 eV/atom
DFT formation energy = 639 meV per atom



The following is a DFT calculation (PBE-GGA) of a relaxed structure of Pm4Nd3Ga4.

```
data_Pm4Nd3Ga4
_chemical_formula_sum 'Pm8 Nd6 Ga8'
_cell_length_a 3.687
_cell_length_b 9.197
_cell_length_c 18.405
_cell_angle_alpha 90.00
_cell_angle_beta 90.00
_cell_angle_gamma 90.00
_space_group_name_H-M_alt 'I m m m'
_space_group_IT_number 71
_space_group_name_Hall '-I 2 2'
loop_
_atom_site_label
_atom_site_type_symbol
_atom_site_fract_x
_atom_site_fract_y
_atom_site_fract_z
_atom_site_occupancy
Pm1 Pm 0.000 0.181 0.168 1
Nd1 Nd 0.000 0.000 0.405 1
Nd2 Nd 0.000 0.500 0.500 1
Ga1 Ga 0.000 0.276 0.000 1
Ga2 Ga 0.000 0.500 0.227 1
```

Properties
DFT formation energy = -398 meV per atom



The following is a DFT calculation (PBE-GGA) of a relaxed structure of Li5TlO4.

```
data_Li5TlO4
_chemical_formula_sum 'Li40 Tl8 O32'
_cell_length_a 13.417
_cell_length_b 13.417
_cell_length_c 4.787
_cell_angle_alpha 90.00
_cell_angle_beta 90.00
_cell_angle_gamma 90.00
_space_group_name_H-M_alt 'P 42/n m c'
_space_group_IT_number 137
loop_
_space_group_symop_operation_xyz
'x,y,z'
'-x,-y,-z'
'-y+1/2,x,z+1/2'
'y+1/2,-x,-z+1/2'
'-x+1/2,-y+1/2,z'
'x+1/2,y+1/2,-z'
'y,-x+1/2,z+1/2'
'-y,x+1/2,-z+1/2'
'x+1/2,-y,-z'
'-x+1/2,y,z'
'-y,-x,-z+1/2'
'y,x,z+1/2'
'-x,y+1/2,-z'
'x,-y+1/2,z'
'y+1/2,x+1/2,-z+1/2'
'-y+1/2,-x+1/2,z+1/2'
loop_
_atom_site_label
_atom_site_type_symbol
_atom_site_fract_x
_atom_site_fract_y
_atom_site_fract_z
_atom_site_occupancy
Li1 Li 0.012 0.512 0.250 1
Li2 Li 0.110 0.141 0.185 1
Li3 Li 0.120 0.620 0.750 1
Li4 Li 0.250 0.250 0.155 1
Li5 Li 0.250 0.750 0.250 1
Li6 Li 0.250 0.750 0.750 1
Tl1 Tl 0.022 0.750 0.288 1
O1 O 0.010 0.115 0.471 1
O2 O 0.134 0.250 0.912 1
O3 O 0.135 0.750 0.977 1
```

Properties
Polymorph energy (0 for the lowest one) = 0.0000 eV/atom
Formation energy (no corrections) = -1.5831 eV/atom



| no. | uncorrected energy (eV per formula unit) | V (Å³/atom) |
| --- | --- | --- |
| 1 | -19.8 | 25.54 |
| 2 | -10.7 | 22.18 |
| 3 | -49.8 | 28.37 |
| 4 | -47.6 | 10.77 |